## Sn6PdRh3 (PBE)

Data for crystalline Sn6PdRh3 at its relaxed geometry.

energy of formation from the pure elements	-0.356	eV per atom
calculated volume	21.1	Å³/atom
Fermi-level density of states	9.27	states/eV/cell

Cell: 7.005 6.612 10.484 Å, 90.00 119.57 90.00°
Space group P2_1/c (No. 14)
Asymmetric unit:
1 Sn 0.083 0.001 0.279 (multiplicity 4)
2 Sn 0.264 0.169 0.606 (multiplicity 4)
3 Sn 0.399 0.647 0.571 (multiplicity 4)
4 Pd 0.000 0.000 0.000 (multiplicity 2)
5 Rh 0.298 0.662 0.277 (multiplicity 4)
6 Rh 0.500 0.000 0.500 (multiplicity 2)

## Sn4PdRh (PBE)

Data for crystalline Sn4PdRh at its relaxed geometry.

energy of formation from the pure elements	-0.395	eV per atom
calculated volume	22.5	Å³/atom
Fermi-level density of states	3.48	states/eV/cell

Cell: 4.584 4.584 6.428 Å, 90.00 90.00 90.00°
Space group P4/mmm (No. 123)
Asymmetric unit:
1 Sn 0.000 0.500 0.246 (multiplicity 4)
2 Pd 0.000 0.000 0.500 (multiplicity 1)
3 Rh 0.500 0.500 0.000 (multiplicity 1)

## Sn5Pd2Rh2 (PBE)

Data for crystalline Sn5Pd2Rh2 at its relaxed geometry.

energy of formation from the pure elements	-0.368	eV per atom
calculated volume	20.7	Å³/atom
Fermi-level density of states	17.17	states/eV/cell

Cell: 15.515 6.987 6.870 Å, 90.00 90.00 90.00°
Space group Ima2 (No. 46)
Asymmetric unit:
1 Sn 0.067 0.174 0.000 (multiplicity 8)
2 Sn 0.156 0.674 0.162 (multiplicity 8)
3 Sn 0.250 0.140 0.346 (multiplicity 4)
4 Pd 0.000 0.000 0.685 (multiplicity 4)
5 Pd 0.250 0.505 0.480 (multiplicity 4)
6 Rh 0.092 0.513 0.827 (multiplicity 8)

## SnPd14Rh (PBE)

Data for crystalline SnPd14Rh at its relaxed geometry.

energy of formation from the pure elements	-0.092	eV per atom
calculated volume	15.6	Å³/atom
Fermi-level density of states	65.58	states/eV/cell

Cell: 9.174 5.609 9.676 Å, 90.00 90.00 90.00°
Space group Amm2 (No. 38)
Asymmetric unit:
1 Sn 0.000 0.000 0.000 (multiplicity 2)
2 Pd 0.000 0.250 0.251 (multiplicity 4)
3 Pd 0.249 0.249 0.583 (multiplicity 8)
4 Pd 0.250 0.000 0.334 (multiplicity 4)
5 Pd 0.251 0.000 0.833 (multiplicity 4)
6 Pd 0.500 0.000 0.166 (multiplicity 2)
7 Pd 0.500 0.000 0.665 (multiplicity 2)
8 Pd 0.500 0.250 0.415 (multiplicity 4)
9 Rh 0.000 0.000 0.499 (multiplicity 2)

## Sn7Pd2Rh12 (PBE)

Data for crystalline Sn7Pd2Rh12 at its relaxed geometry.

energy of formation from the pure elements	-0.261	eV per atom
calculated volume	16.6	Å³/atom
Fermi-level density of states	19.58	states/eV/cell

Cell: 11.5922 11.5922 3.0007 Å, 90.00 90.00 120.00°
Space group P-6 (No. 174)
Asymmetric unit:
1 Sn 0.0000 0.0000 0.0000 (multiplicity 1)
2 Sn 0.1381 0.7069 0.5000 (multiplicity 3)
3 Sn 0.4285 0.1396 0.0000 (multiplicity 3)
4 Pd 0.3333 0.6667 0.0000 (multiplicity 1)
5 Pd 0.6667 0.3333 0.5000 (multiplicity 1)
6 Rh 0.0752 0.4562 0.5000 (multiplicity 3)
7 Rh 0.0876 0.2583 0.0000 (multiplicity 3)
8 Rh 0.2360 0.1565 0.5000 (multiplicity 3)
9 Rh 0.4561 0.3786 0.0000 (multiplicity 3)

## Sn4Pd5Rh (PBE)

Data for crystalline Sn4Pd5Rh at its relaxed geometry.

energy of formation from the pure elements	-0.414	eV per atom
calculated volume	18.9	Å³/atom
Fermi-level density of states	7.55	states/eV/cell

Cell: 11.907 4.143 7.676 Å, 90.00 90.63 90.00°
Space group C2/m (No. 12)
Asymmetric unit:
1 Sn 0.031 0.000 0.256 (multiplicity 4)
2 Sn 0.190 0.500 0.749 (multiplicity 4)
3 Pd 0.000 0.500 0.000 (multiplicity 2)
4 Pd 0.166 0.000 0.969 (multiplicity 4)
5 Pd 0.169 0.000 0.533 (multiplicity 4)
6 Rh 0.000 0.500 0.500 (multiplicity 2)

## Sr2Sn3PdRh4 (PBE)

Data for crystalline Sr2Sn3PdRh4 at its relaxed geometry.

energy of formation from the pure elements	-0.554	eV per atom
calculated volume	21.9	Å³/atom
Fermi-level density of states	4.51	states/eV/cell

Cell: 4.431 4.431 11.141 Å, 90.00 90.00 90.00°
Space group P-4m2 (No. 115)
Asymmetric unit:
1 Sr 0.000 0.500 0.244 (multiplicity 2)
2 Sn 0.000 0.000 0.000 (multiplicity 1)
3 Sn 0.000 0.500 0.628 (multiplicity 2)
4 Pd 0.500 0.500 0.000 (multiplicity 1)
5 Rh 0.000 0.000 0.500 (multiplicity 1)
6 Rh 0.000 0.500 0.864 (multiplicity 2)
7 Rh 0.500 0.500 0.500 (multiplicity 1)

## Sr2Sn3Pd4Rh (PBE)

Data for crystalline Sr2Sn3Pd4Rh at its relaxed geometry.

energy of formation from the pure elements	-0.582	eV per atom
calculated volume	22.3	Å³/atom
Fermi-level density of states	6.84	states/eV/cell

Cell: 4.319 4.319 11.949 Å, 90.00 90.00 90.00°
Space group P-4m2 (No. 115)
Asymmetric unit:
1 Sr 0.000 0.500 0.234 (multiplicity 2)
2 Sn 0.000 0.000 0.000 (multiplicity 1)
3 Sn 0.000 0.500 0.633 (multiplicity 2)
4 Pd 0.000 0.000 0.500 (multiplicity 1)
5 Pd 0.000 0.500 0.856 (multiplicity 2)
6 Pd 0.500 0.500 0.500 (multiplicity 1)
7 Rh 0.500 0.500 0.000 (multiplicity 1)

## Sr2Sn4PdRh3 (PBE)

Data for crystalline Sr2Sn4PdRh3 at its relaxed geometry.

energy of formation from the pure elements	-0.648	eV per atom
calculated volume	23.0	Å³/atom
Fermi-level density of states	5.92	states/eV/cell

Cell: 4.672 4.672 10.547 Å, 90.00 90.00 90.00°
Space group P-4m2 (No. 115)
Asymmetric unit:
1 Sr 0.000 0.500 0.244 (multiplicity 2)
2 Sn 0.000 0.000 0.500 (multiplicity 1)
3 Sn 0.000 0.500 0.875 (multiplicity 2)
4 Sn 0.500 0.500 0.500 (multiplicity 1)
5 Pd 0.500 0.500 0.000 (multiplicity 1)
6 Rh 0.000 0.000 0.000 (multiplicity 1)
7 Rh 0.000 0.500 0.626 (multiplicity 2)

## TbSnPdRh (PBE)

Data for crystalline TbSnPdRh at its relaxed geometry.

energy of formation from the pure elements	-0.797	eV per atom
calculated volume	19.1	Å³/atom
Fermi-level density of states	11.77	states/eV/cell

Cell: 6.735 6.735 6.735 Å, 90.00 90.00 90.00°
Space group F-43m (No. 216)
Asymmetric unit:
1 Tb 0.000 0.000 0.000 (multiplicity 4)
2 Sn 0.000 0.000 0.500 (multiplicity 4)
3 Pd 0.250 0.250 0.750 (multiplicity 4)
4 Rh 0.250 0.250 0.250 (multiplicity 4)

## TlSnPdRh (PBE)

Data for crystalline TlSnPdRh at its relaxed geometry.

energy of formation from the pure elements	-0.164	eV per atom
calculated volume	18.4	Å³/atom
Fermi-level density of states	8.18	states/eV/cell

Cell: 6.648 6.648 6.648 Å, 90.00 90.00 90.00°
Space group F-43m (No. 216)
Asymmetric unit:
1 Tl 0.000 0.000 0.000 (multiplicity 4)
2 Sn 0.000 0.000 0.500 (multiplicity 4)
3 Pd 0.250 0.250 0.750 (multiplicity 4)
4 Rh 0.250 0.250 0.250 (multiplicity 4)

## Zr2SnPdRh5 (PBE)

Data for crystalline Zr2SnPdRh5 at its relaxed geometry.

energy of formation from the pure elements	-0.102	eV per atom
calculated volume	18.0	Å³/atom
Fermi-level density of states	29.51	states/eV/cell

Cell: 7.647 7.647 11.098 Å, 90.00 90.00 90.00°
Space group I4/mcm (No. 140)
Asymmetric unit:
1 Zr 0.126 0.374 0.000 (multiplicity 8)
2 Sn 0.000 0.000 0.250 (multiplicity 4)
3 Pd 0.000 0.500 0.250 (multiplicity 4)
4 Rh 0.000 0.000 0.000 (multiplicity 4)
5 Rh 0.202 0.298 0.366 (multiplicity 16)

## Sr8PdRh2 (PBE)

Data for crystalline Sr8PdRh2 at its relaxed geometry.

energy of formation from the pure elements	-0.231	eV per atom
calculated volume	40.0	Å³/atom
Fermi-level density of states	8.13	states/eV/cell

Cell: 6.591 8.102 8.505 Å, 78.10 89.42 81.81°
Space group P-1 (No. 2)
Asymmetric unit:
1 Sr 0.185 0.332 0.419 (multiplicity 2)
2 Sr 0.236 0.345 0.921 (multiplicity 2)
3 Sr 0.269 0.849 0.771 (multiplicity 2)
4 Sr 0.298 0.808 0.297 (multiplicity 2)
5 Pd 0.500 0.000 0.000 (multiplicity 1)
6 Rh 0.361 0.548 0.608 (multiplicity 2)

## SrPdRh2 (PBE)

Data for crystalline SrPdRh2 at its relaxed geometry.

energy of formation from the pure elements	0.224	eV per atom
energy above the most stable polymorph in this dataset	0.181	eV/f.u.
calculated volume	18.5	Å³/atom
Fermi-level density of states	26.47	states/eV/cell

Cell: 6.659 6.659 6.659 Å, 90.00 90.00 90.00°
Space group Fm-3m (No. 225)
Asymmetric unit:
1 Sr 0.000 0.000 0.000 (multiplicity 4)
2 Pd 0.000 0.000 0.500 (multiplicity 4)
3 Rh 0.250 0.250 0.250 (multiplicity 8)

## Sr2PdRh (PBE)

Data for crystalline Sr2PdRh at its relaxed geometry.

energy of formation from the pure elements	-0.290	eV per atom
calculated volume	24.8	Å³/atom
Fermi-level density of states	2.23	states/eV/cell

Cell: 3.709 3.709 7.201 Å, 90.00 90.00 90.00°
Space group P4/mmm (No. 123)
Asymmetric unit:
1 Sr 0.000 0.000 0.244 (multiplicity 2)
2 Pd 0.500 0.500 0.500 (multiplicity 1)
3 Rh 0.500 0.500 0.000 (multiplicity 1)

## Sr2PdRh2 (PBE)

Data for crystalline Sr2PdRh2 at its relaxed geometry.

energy of formation from the pure elements	-0.220	eV per atom
calculated volume	22.7	Å³/atom
Fermi-level density of states	2.10	states/eV/cell

Cell: 7.030 7.030 4.593 Å, 90.00 90.00 90.00°
Space group P4/mbm (No. 127)
Asymmetric unit:
1 Sr 0.181 0.319 0.000 (multiplicity 4)
2 Pd 0.000 0.000 0.500 (multiplicity 2)
3 Rh 0.126 0.626 0.500 (multiplicity 4)

## SrPd2Rh2 (PBE)

Data for crystalline SrPd2Rh2 at its relaxed geometry.

energy of formation from the pure elements	-0.032	eV per atom
energy above the most stable polymorph in this dataset	0.000	eV/f.u.
calculated volume	20.1	Å³/atom
Fermi-level density of states	19.49	states/eV/cell

Cell: 4.416 4.416 10.326 Å, 90.00 90.00 90.00°
Space group I4/mmm (No. 139)
Asymmetric unit:
1 Sr 0.000 0.000 0.000 (multiplicity 2)
2 Pd 0.000 0.500 0.250 (multiplicity 4)
3 Rh 0.000 0.000 0.386 (multiplicity 4)

## SrPdRh3 (PBE)

Data for crystalline SrPdRh3 at its relaxed geometry.

energy of formation from the pure elements	0.747	eV per atom
energy above the most stable polymorph in this dataset	0.000	eV/f.u.
calculated volume	22.9	Å³/atom
Fermi-level density of states	9.34	states/eV/cell

Cell: 4.853 4.853 4.853 Å, 90.00 90.00 90.00°
Space group Pm-3m (No. 221)
Asymmetric unit:
1 Sr 0.000 0.000 0.000 (multiplicity 1)
2 Pd 0.500 0.500 0.500 (multiplicity 1)
3 Rh 0.000 0.500 0.500 (multiplicity 3)

## SrPdRh3 (PBE)

Data for crystalline SrPdRh3 at its relaxed geometry.

energy of formation from the pure elements	1.917	eV per atom
energy above the most stable polymorph in this dataset	5.851	eV/f.u.
calculated volume	23.4	Å³/atom
Fermi-level density of states	9.77	states/eV/cell

Cell: 4.888 4.888 4.888 Å, 90.00 90.00 90.00°
Space group Pm-3m (No. 221)
Asymmetric unit:
1 Sr 0.000 0.000 0.000 (multiplicity 1)
2 Pd 0.500 0.500 0.500 (multiplicity 1)
3 Rh 0.000 0.000 0.500 (multiplicity 3)

## SrPd3Rh (PBE)

Data for crystalline SrPd3Rh at its relaxed geometry.

energy of formation from the pure elements	0.270	eV per atom
energy above the most stable polymorph in this dataset	0.000	eV/f.u.
calculated volume	23.8	Å³/atom
Fermi-level density of states	6.51	states/eV/cell

Cell: 4.919 4.919 4.919 Å, 90.00 90.00 90.00°
Space group Pm-3m (No. 221)
Asymmetric unit:
1 Sr 0.000 0.000 0.000 (multiplicity 1)
2 Pd 0.000 0.500 0.500 (multiplicity 3)
3 Rh 0.500 0.500 0.500 (multiplicity 1)

## SrPd2Rh2 (PBE)

Data for crystalline SrPd2Rh2 at its relaxed geometry.

energy of formation from the pure elements	-0.028	eV per atom
energy above the most stable polymorph in this dataset	0.020	eV/f.u.
calculated volume	17.9	Å³/atom
Fermi-level density of states	10.74	states/eV/cell

Cell: 7.838 7.838 2.922 Å, 90.00 90.00 90.00°
Space group P4/mbm (No. 127)
Asymmetric unit:
1 Sr 0.000 0.000 0.000 (multiplicity 2)
2 Pd 0.181 0.319 0.500 (multiplicity 4)
3 Rh 0.116 0.616 0.000 (multiplicity 4)

## SrPd2Rh (PBE)

Data for crystalline SrPd2Rh at its relaxed geometry.

energy of formation from the pure elements	0.091	eV per atom
calculated volume	25.1	Å³/atom
Fermi-level density of states	14.21	states/eV/cell

Cell: 4.755 4.755 17.764 Å, 90.00 90.00 90.00°
Space group I-42d (No. 122)
Asymmetric unit:
1 Sr 0.000 0.000 0.000 (multiplicity 4)
2 Pd 0.085 0.250 0.625 (multiplicity 8)
3 Rh 0.000 0.000 0.500 (multiplicity 4)

## SrPdRh (PBE)

Data for crystalline SrPdRh at its relaxed geometry.

energy of formation from the pure elements	-0.432	eV per atom
energy above the most stable polymorph in this dataset	0.000	eV/f.u.
calculated volume	20.0	Å³/atom
Fermi-level density of states	8.60	states/eV/cell

Cell: 5.471 5.600 7.850 Å, 90.00 90.00 90.00°
Space group Imma (No. 74)
Asymmetric unit:
1 Sr 0.000 0.250 0.123 (multiplicity 4)
2 Pd 0.000 0.000 0.500 (multiplicity 4)
3 Rh 0.250 0.250 0.750 (multiplicity 4)

no.,total DFT energy (no corrections) (eV per atom)
1,-5.482
2,-5.155
3,-5.379
4,-5.345
5,-6.291
6,-5.346
7,-5.551
8,-4.931
9,-5.311
10,-6.092
11,-4.892
12,-7.108
13,-3.262
14,-5.171
15,-4.267
16,-4.872
17,-5.386
18,-5.039
19,-3.869
20,-4.652
21,-5.382
22,-4.764
23,-5.175